No. 1
## Na2Cr2SbS6 (GGA-PBE)

Data for a relaxed structure of Na2Cr2SbS6.

abc: 6.2680 11.0013 6.9829
angles: 90.00 106.90 90.00
Last column: nearest neighbours and their distance in Å.
Space group C2/m (No. 12)
Inequivalent atoms, fractional coordinates:
Na: 0.0000 0.1611 0.0000 [4 per cell]  6 S 2.85-2.94
Cr: 0.0000 0.3327 0.5000 [4 per cell]  6 S 2.41-2.44
Sb: 0.0000 0.0000 0.5000 [2 per cell]  6 S 2.62-2.63
S: 0.2062 0.5000 0.7008 [4 per cell]  2 Cr 2.44, 1 Sb 2.62
S: 0.2409 0.1801 0.6979 [8 per cell]  2 Cr 2.41-2.42, 1 Sb 2.63

**Total magnetic moment**: 0.4544 μB per atom
**Formation energy without anion corrections**: -767 meV/atom
**VASP energy**: -0.19780 Ha/atom

No. 2
## NaCrSbS2 (GGA-PBE)

Data for a relaxed structure of NaCrSbS2.

abc: 4.5951 4.5951 5.2676
angles: 90.00 90.00 90.00
Last column: nearest neighbours and their distance in Å.
Space group P4/mmm (No. 123)
Inequivalent atoms, fractional coordinates:
Na: 0.0000 0.0000 0.0000 [1 per cell]  4 Sb 3.25, 8 S 3.50
Cr: 0.5000 0.5000 0.5000 [1 per cell]  4 S 2.30
Sb: 0.5000 0.5000 0.0000 [1 per cell]  2 Cr 2.63
S: 0.0000 0.5000 0.5000 [2 per cell]  2 Cr 2.30

**Total magnetic moment**: 0.2477 μB per atom
**Formation energy without anion corrections**: -74 meV/atom
**VASP energy**: -0.17413 Ha/atom

No. 3
## Na2CrSbS4 (GGA-PBE)

Data for a relaxed structure of Na2CrSbS4.

abc: 8.0057 7.9530 6.6142
angles: 90.00 123.59 90.00
Last column: nearest neighbours and their distance in Å.
Space group C2 (No. 5)
Inequivalent atoms, fractional coordinates:
Na: 0.0000 0.0000 0.0000 [2 per cell]  6 S 2.85-2.88
Na: 0.0000 0.2512 0.5000 [2 per cell]  4 S 2.83-2.85
Cr: 0.0000 0.7907 0.5000 [2 per cell]  4 S 2.29-2.38
Sb: 0.0000 0.5154 0.0000 [2 per cell]  4 S 2.55-2.72
S: 0.1957 0.7282 0.9222 [4 per cell]  1 Cr 2.38, 1 Sb 2.55
S: 0.2296 0.9718 0.5162 [4 per cell]  1 Cr 2.29

**Total magnetic moment**: 0.3750 μB per atom
**Formation energy without anion corrections**: -680 meV/atom
**VASP energy**: -0.17607 Ha/atom

No. 4
## Na3ScCr2S6 (GGA-PBE)

Data for a relaxed structure of Na3ScCr2S6.

abc: 6.2880 10.8903 6.9102
angles: 90.00 107.72 90.00
Last column: nearest neighbours and their distance in Å.
Space group C2/m (No. 12)
Inequivalent atoms, fractional coordinates:
Na: 0.0000 0.0000 0.0000 [2 per cell]  6 S 2.78-2.90
Na: 0.0000 0.3360 0.0000 [4 per cell]  6 S 2.80-2.90
Sc: 0.0000 0.5000 0.5000 [2 per cell]  6 S 2.58
Cr: 0.0000 0.1670 0.5000 [4 per cell]  6 S 2.45
S: 0.2187 0.0000 0.7052 [4 per cell]  2 Cr 2.45, 1 Sc 2.58
S: 0.2435 0.3250 0.7048 [8 per cell]  2 Cr 2.45, 1 Sc 2.58

**Total magnetic moment**: 0.5000 μB per atom
**Formation energy without anion corrections**: -1196 meV/atom
**VASP energy**: -0.21025 Ha/atom

No. 5
## Na2ScCrS4 (GGA-PBE)

Data for a relaxed structure of Na2ScCrS4.

abc: 6.3243 3.6814 6.9341
angles: 90.00 107.95 90.00
Last column: nearest neighbours and their distance in Å.
Space group P2/m (No. 10)
Inequivalent atoms, fractional coordinates:
Na: 0.0000 0.0000 0.0000 [1 per cell]  6 S 2.90-2.92
Na: 0.5000 0.5000 0.0000 [1 per cell]  6 S 2.81-2.82
Sc: 0.0000 0.5000 0.5000 [1 per cell]  6 S 2.57-2.58
Cr: 0.5000 0.0000 0.5000 [1 per cell]  6 S 2.47
S: 0.2501 0.0000 0.7128 [2 per cell]  1 Cr 2.47, 2 Sc 2.57
S: 0.2797 0.5000 0.2964 [2 per cell]  2 Cr 2.47, 1 Sc 2.58

**Total magnetic moment**: 0.3747 μB per atom
**Formation energy without anion corrections**: -1320 meV/atom
**VASP energy**: -0.20975 Ha/atom

No. 6
## Na2Cr2SiS6 (GGA-PBE)

Data for a relaxed structure of Na2Cr2SiS6.

abc: 6.0337 10.4551 7.0076
angles: 90.00 107.08 90.00
Last column: nearest neighbours and their distance in Å.
Space group C2/m (No. 12)
Inequivalent atoms, fractional coordinates:
Na: 0.0000 0.1691 0.0000 [4 per cell]  6 S 2.87-2.90
Cr: 0.0000 0.3323 0.5000 [4 per cell]  6 S 2.41-2.43
Si: 0.0000 0.0000 0.5000 [2 per cell]  6 S 2.31-2.34
S: 0.2272 0.1616 0.6921 [8 per cell]  1 Si 2.34, 2 Cr 2.41
S: 0.2459 0.5000 0.6902 [4 per cell]  1 Si 2.31, 2 Cr 2.43

**Total magnetic moment**: 0.5455 μB per atom
**Formation energy without anion corrections**: -863 meV/atom
**VASP energy**: -0.20569 Ha/atom

No. 7
## Na3SmCr2S6 (GGA-PBE)

Data for a relaxed structure of Na3SmCr2S6.

abc: 6.4454 11.1765 7.0218
angles: 90.00 108.23 90.00
Last column: nearest neighbours and their distance in Å.
Space group C2/m (No. 12)
Inequivalent atoms, fractional coordinates:
Na: 0.0000 0.0000 0.0000 [2 per cell]  6 S 2.74-2.99
Na: 0.0000 0.3394 0.0000 [4 per cell]  6 S 2.76-3.01
Sm: 0.0000 0.5000 0.5000 [2 per cell]  6 S 2.76
Cr: 0.0000 0.1674 0.5000 [4 per cell]  6 S 2.47-2.48
S: 0.2022 0.0000 0.7100 [4 per cell]  2 Cr 2.48, 1 Na 2.74, 1 Sm 2.76
S: 0.2443 0.1848 0.2912 [8 per cell]  2 Cr 2.47, 1 Sm 2.76

**Total magnetic moment**: 0.5000 μB per atom
**Formation energy without anion corrections**: -1187 meV/atom
**VASP energy**: -0.20497 Ha/atom

No. 8
## Na2SmCrS4 (GGA-PBE)

Data for a relaxed structure of Na2SmCrS4.

abc: 6.5946 3.8514 7.0400
angles: 90.00 108.59 90.00
Last column: nearest neighbours and their distance in Å.
Space group P2/m (No. 10)
Inequivalent atoms, fractional coordinates:
Na: 0.0000 0.0000 0.0000 [1 per cell]  6 S 3.03
Na: 0.5000 0.5000 0.0000 [1 per cell]  6 S 2.81
Sm: 0.0000 0.5000 0.5000 [1 per cell]  6 S 2.76-2.77
Cr: 0.5000 0.0000 0.5000 [1 per cell]  6 S 2.51-2.53
S: 0.2709 0.0000 0.7244 [2 per cell]  1 Cr 2.51, 2 Sm 2.76, 2 Na 2.81
S: 0.2939 0.5000 0.2934 [2 per cell]  2 Cr 2.53, 1 Sm 2.77, 1 Na 2.81

**Total magnetic moment**: 0.3747 μB per atom
**Formation energy without anion corrections**: -1295 meV/atom
**VASP energy**: -0.20145 Ha/atom

No. 9
## Na3Cr2SnS6 (GGA-PBE)

Data for a relaxed structure of Na3Cr2SnS6.

abc: 6.4421 11.1737 6.8559
angles: 90.00 108.59 90.00
Last column: nearest neighbours and their distance in Å.
Space group C2/m (No. 12)
Inequivalent atoms, fractional coordinates:
Na: 0.0000 0.0000 0.0000 [2 per cell]  6 S 2.76-2.96
Na: 0.0000 0.3394 0.0000 [4 per cell]  6 S 2.79-2.98
Cr: 0.0000 0.1673 0.5000 [4 per cell]  6 S 2.44-2.46
Sn: 0.0000 0.5000 0.5000 [2 per cell]  6 S 2.68
S: 0.2067 0.0000 0.7034 [4 per cell]  2 Cr 2.46, 1 Sn 2.68
S: 0.2492 0.3190 0.7024 [8 per cell]  2 Cr 2.44-2.45, 1 Sn 2.68

**Total magnetic moment**: 0.4157 μB per atom
**Formation energy without anion corrections**: -862 meV/atom
**VASP energy**: -0.19085 Ha/atom

No. 10
## Na3CrSn3S8 (GGA-PBE)

Data for a relaxed structure of Na3CrSn3S8.

abc: 13.1530 7.5745 8.1273
angles: 90.00 122.70 90.00
Last column: nearest neighbours and their distance in Å.
Space group C2/m (No. 12)
Inequivalent atoms, fractional coordinates:
Na: 0.0000 0.0000 0.0000 [2 per cell]  6 S 2.85-2.94
Na: 0.2500 0.2500 0.0000 [4 per cell]  6 S 2.85-2.94
Cr: 0.0000 0.0000 0.5000 [2 per cell]  6 S 2.40
Sn: 0.0000 0.5000 0.5000 [2 per cell]  6 S 2.66-2.71
Sn: 0.2500 0.2500 0.5000 [4 per cell]  6 S 2.67-2.71
S: 0.0094 0.2271 0.3019 [8 per cell]  1 Cr 2.40, 2 Sn 2.66-2.67
S: 0.2167 0.0000 0.6979 [4 per cell]  1 Cr 2.40, 2 Sn 2.67
S: 0.2441 0.5000 0.7337 [4 per cell]  3 Sn 2.71, 3 Na 2.85

**Total magnetic moment**: 0.0951 μB per atom
**Formation energy without anion corrections**: -729 meV/atom
**VASP energy**: -0.17036 Ha/atom

No. 11
## Na3TaCr2S6 (GGA-PBE)

Data for a relaxed structure of Na3TaCr2S6.

abc: 6.1143 10.5809 6.9778
angles: 90.00 107.00 90.00
Last column: nearest neighbours and their distance in Å.
Space group C2/m (No. 12)
Inequivalent atoms, fractional coordinates:
Na: 0.0000 0.0000 0.0000 [2 per cell]  6 S 2.78-2.85
Na: 0.0000 0.3358 0.0000 [4 per cell]  6 S 2.80-2.86
Ta: 0.0000 0.5000 0.5000 [2 per cell]  6 S 2.51
Cr: 0.0000 0.1670 0.5000 [4 per cell]  6 S 2.43
S: 0.2239 0.0000 0.7055 [4 per cell]  2 Cr 2.43, 1 Ta 2.51
S: 0.2410 0.3277 0.7058 [8 per cell]  2 Cr 2.43, 1 Ta 2.51

**Total magnetic moment**: 0.3289 μB per atom
**Formation energy without anion corrections**: -932 meV/atom
**VASP energy**: -0.21743 Ha/atom

No. 12
## Na3TaCr3S8 (GGA-PBE)

Data for a relaxed structure of Na3TaCr3S8.

abc: 7.0040 7.0040 20.1412
angles: 90.00 90.00 120.00
Last column: nearest neighbours and their distance in Å.
Space group R-3m (No. 166, hexagonal axes)
Inequivalent atoms, fractional coordinates:
Na: 0.0000 0.5000 0.0000 [9 per cell]  6 S 2.85-2.87
Ta: 0.0000 0.0000 0.5000 [3 per cell]  6 S 2.50
Cr: 0.0000 0.5000 0.5000 [9 per cell]  6 S 2.41-2.42
S: 0.0000 0.0000 0.2322 [6 per cell]  3 Cr 2.41
S: 0.0095 0.5048 0.7649 [18 per cell]  2 Cr 2.42, 1 Ta 2.50

**Total magnetic moment**: 0.5355 μB per atom
**Formation energy without anion corrections**: -936 meV/atom
**VASP energy**: -0.22474 Ha/atom

No. 13
## Na2TaCr2S6 (GGA-PBE)

Data for a relaxed structure of Na2TaCr2S6.

abc: 5.9095 10.0383 7.1878
angles: 90.00 103.47 90.00
Last column: nearest neighbours and their distance in Å.
Space group C2/m (No. 12)
Inequivalent atoms, fractional coordinates:
Na: 0.0000 0.1720 0.0000 [4 per cell]  6 S 2.83-2.87
Ta: 0.0000 0.0000 0.5000 [2 per cell]  6 S 2.45-2.51
Cr: 0.0000 0.3573 0.5000 [4 per cell]  6 S 2.30-2.50
S: 0.2239 0.5000 0.7179 [4 per cell]  2 Cr 2.30, 1 Ta 2.51
S: 0.2283 0.1753 0.6954 [8 per cell]  2 Cr 2.39-2.50, 1 Ta 2.45

**Total magnetic moment**: 0.2725 μB per atom
**Formation energy without anion corrections**: -889 meV/atom
**VASP energy**: -0.22812 Ha/atom

No. 14
## Na4Tb3CrS8 (GGA-PBE)

Data for a relaxed structure of Na4Tb3CrS8.

abc: 7.7991 7.7991 20.0391
angles: 90.00 90.00 120.00
Last column: nearest neighbours and their distance in Å.
Space group R-3m (No. 166, hexagonal axes)
Inequivalent atoms, fractional coordinates:
Na: 0.0000 0.0000 0.0000 [3 per cell]  6 S 3.07
Na: 0.0000 0.5000 0.0000 [9 per cell]  6 S 2.88
Tb: 0.0000 0.5000 0.5000 [9 per cell]  6 S 2.73-2.75
Cr: 0.0000 0.0000 0.5000 [3 per cell]  6 S 2.54
S: 0.0000 0.0000 0.2437 [6 per cell]  3 Tb 2.73, 3 Na 2.88
S: 0.0245 0.5123 0.2392 [18 per cell]  1 Cr 2.54, 2 Tb 2.75

**Total magnetic moment**: 0.1869 μB per atom
**Formation energy without anion corrections**: -1569 meV/atom
**VASP energy**: -0.19964 Ha/atom

No. 15
## Na3Cr3TcS8 (GGA-PBE)

Data for a relaxed structure of Na3Cr3TcS8.

abc: 7.1235 7.1235 19.7976
angles: 90.00 90.00 120.00
Last column: nearest neighbours and their distance in Å.
Space group R-3m (No. 166, hexagonal axes)
Inequivalent atoms, fractional coordinates:
Na: 0.0000 0.5000 0.0000 [9 per cell]  6 S 2.87
Cr: 0.0000 0.5000 0.5000 [9 per cell]  6 S 2.43
Tc: 0.0000 0.0000 0.5000 [3 per cell]  6 S 2.45
S: 0.0000 0.0000 0.2320 [6 per cell]  3 Cr 2.43
S: 0.0026 0.5013 0.7673 [18 per cell]  2 Cr 2.43, 1 Tc 2.45

**Total magnetic moment**: 0.8022 μB per atom
**Formation energy without anion corrections**: -803 meV/atom
**VASP energy**: -0.21623 Ha/atom

No. 16
## NaCrTeS (GGA-PBE)

Data for a relaxed structure of NaCrTeS.

abc: 3.6910 3.6910 7.5233
angles: 90.00 90.00 120.00
Last column: nearest neighbours and their distance in Å.
Space group P3m1 (No. 156)
Inequivalent atoms, fractional coordinates:
Na: 0.0000 0.0000 0.0000 [1 per cell]  3 S 2.82
Cr: 0.6667 0.3333 0.5799 [1 per cell]  3 S 2.50, 3 Te 2.78
Te: 0.3333 0.6667 0.3421 [1 per cell]  3 Cr 2.78, 1 S 3.10
S: 0.3333 0.6667 0.7547 [1 per cell]  3 Cr 2.50

**Total magnetic moment**: 0.7500 μB per atom
**Formation energy without anion corrections**: -505 meV/atom
**VASP energy**: -0.18587 Ha/atom

No. 17
## Na2Ti2CrS6 (GGA-PBE)

Data for a relaxed structure of Na2Ti2CrS6.

abc: 5.9982 10.3852 7.1626
angles: 90.00 106.44 90.00
Last column: nearest neighbours and their distance in Å.
Space group C2/m (No. 12)
Inequivalent atoms, fractional coordinates:
Na: 0.0000 0.1679 0.0000 [4 per cell]  6 S 2.84-2.86
Ti: 0.0000 0.3328 0.5000 [4 per cell]  6 S 2.45-2.46
Cr: 0.0000 0.0000 0.5000 [2 per cell]  6 S 2.41-2.42
S: 0.2337 0.1632 0.7045 [8 per cell]  1 Cr 2.41, 2 Ti 2.45-2.46
S: 0.2408 0.5000 0.7043 [4 per cell]  1 Cr 2.42, 2 Ti 2.46

**Total magnetic moment**: 0.1788 μB per atom
**Formation energy without anion corrections**: -1210 meV/atom
**VASP energy**: -0.22090 Ha/atom

No. 18
## Na3Ti3CrS8 (GGA-PBE)

Data for a relaxed structure of Na3Ti3CrS8.

abc: 6.9757 6.9757 20.4997
angles: 90.00 90.00 120.00
Last column: nearest neighbours and their distance in Å.
Space group R-3m (No. 166, hexagonal axes)
Inequivalent atoms, fractional coordinates:
Na: 0.0000 0.5000 0.0000 [9 per cell]  6 S 2.82-2.84
Ti: 0.0000 0.5000 0.5000 [9 per cell]  6 S 2.46-2.47
Cr: 0.0000 0.0000 0.5000 [3 per cell]  6 S 2.43
S: 0.0000 0.0000 0.2367 [6 per cell]  3 Ti 2.47
S: 0.0041 0.5020 0.2349 [18 per cell]  1 Cr 2.43, 2 Ti 2.46

**Total magnetic moment**: 0.1195 μB per atom
**Formation energy without anion corrections**: -1249 meV/atom
**VASP energy**: -0.21810 Ha/atom

No. 19
## Na3Ti2CrS6 (GGA-PBE)

Data for a relaxed structure of Na3Ti2CrS6.

abc: 6.2426 10.8141 6.9066
angles: 90.00 107.47 90.00
Last column: nearest neighbours and their distance in Å.
Space group C2/m (No. 12)
Inequivalent atoms, fractional coordinates:
Na: 0.0000 0.0000 0.0000 [2 per cell]  6 S 2.84-2.86
Na: 0.0000 0.3304 0.0000 [4 per cell]  6 S 2.82-2.86
Ti: 0.0000 0.1608 0.5000 [4 per cell]  6 S 2.48-2.54
Cr: 0.0000 0.5000 0.5000 [2 per cell]  6 S 2.45-2.46
S: 0.2313 0.3362 0.7045 [8 per cell]  1 Cr 2.45, 2 Ti 2.50-2.54
S: 0.2450 0.0000 0.7108 [4 per cell]  1 Cr 2.46, 2 Ti 2.48

**Total magnetic moment**: 0.4140 μB per atom
**Formation energy without anion corrections**: -1193 meV/atom
**VASP energy**: -0.20962 Ha/atom

No. 20
## Na4Ti3CrS8 (GGA-PBE)

Data for a relaxed structure of Na4Ti3CrS8.

abc: 7.1980 7.1980 19.8247
angles: 90.00 90.00 120.00
Last column: nearest neighbours and their distance in Å.
Space group R-3m (No. 166, hexagonal axes)
Inequivalent atoms, fractional coordinates:
Na: 0.0000 0.0000 0.0000 [3 per cell]  6 S 2.86
Na: 0.0000 0.5000 0.0000 [9 per cell]  6 S 2.82-2.84
Ti: 0.0000 0.5000 0.5000 [9 per cell]  6 S 2.49-2.51
Cr: 0.0000 0.0000 0.5000 [3 per cell]  6 S 2.47
S: 0.0000 0.0000 0.2374 [6 per cell]  3 Ti 2.51
S: 0.0034 0.5017 0.2353 [18 per cell]  1 Cr 2.47, 2 Ti 2.49

**Total magnetic moment**: 0.3626 μB per atom
**Formation energy without anion corrections**: -1234 meV/atom
**VASP energy**: -0.20983 Ha/atom

No. 21
## Na2TiCr2S6 (GGA-PBE)

Data for a relaxed structure of Na2TiCr2S6.

abc: 6.0520 10.4908 7.0588
angles: 90.00 106.61 90.00
Last column: nearest neighbours and their distance in Å.
Space group C2/m (No. 12)
Inequivalent atoms, fractional coordinates:
Na: 0.0000 0.1658 0.0000 [4 per cell]  6 S 2.85-2.87
Ti: 0.0000 0.0000 0.5000 [2 per cell]  6 S 2.45
Cr: 0.0000 0.3327 0.5000 [4 per cell]  6 S 2.41-2.42
S: 0.2287 0.5000 0.6994 [4 per cell]  2 Cr 2.42, 1 Ti 2.45
S: 0.2354 0.1688 0.6994 [8 per cell]  2 Cr 2.41-2.42, 1 Ti 2.45

**Total magnetic moment**: 0.5451 μB per atom
**Formation energy without anion corrections**: -1050 meV/atom
**VASP energy**: -0.22082 Ha/atom